1.
The following is a DFT calculation (PBE-GGA) of P2IrSe after structural relaxation.

The space group is R3m (No. 160, hexagonal axes) and the conventional cell measures 3.4897, 3.4897 and 18.6565 Å, with angles of 90.00, 90.00 and 120.00 degrees. The distinct sites, in fractional coordinates, are P at (0.0000, 0.0000, 0.0000), P at (0.0000, 0.0000, 0.2513), Ir at (0.0000, 0.0000, 0.7311) and Se at (0.0000, 0.0000, 0.4986).

The value obtained for the volume is 16.4 Å³ per atom. Its formation energy from raw total energies is 0.117 eV per atom. As for the total energy: -5.67 eV/atom. The crystal system is trigonal. Its density is 8.4 g cm⁻³.


2.
The following is a DFT calculation (PBE-GGA) of Ba2TcTeN after structural relaxation.

The space group is P4/mmm (No. 123) and the conventional cell measures 5.991, 5.991 and 3.938 Å, with angles of 90.00, 90.00 and 90.00 degrees. The distinct sites, in fractional coordinates, are Ba at (0.000, 0.500, 0.000), Tc at (0.000, 0.000, 0.500), Te at (0.500, 0.500, 0.500) and N at (0.000, 0.000, 0.000).

The value obtained for the volume is 28.3 Å³ per atom. Its formation energy from raw total energies is -0.584 eV per atom. As for the total energy: -5.72 eV/atom. The crystal system is tetragonal. Its density is 6.0 g cm⁻³.


3.
The following is a DFT calculation (PBE-GGA) of Tm2Zn2Ru after structural relaxation.

The space group is Immm (No. 71) and the conventional cell measures 4.675, 4.849 and 8.744 Å, with angles of 90.00, 90.00 and 90.00 degrees. The distinct sites, in fractional coordinates, are Tm at (0.000, 0.000, 0.186), Zn at (0.000, 0.251, 0.500) and Ru at (0.000, 0.500, 0.000).

For the formation energy, the calculation gives -0.346 eV/atom. The value obtained for the volume is 19.8 Å³ per atom. As for the total energy: -4.50 eV/atom. The crystal system is orthorhombic. Its density is 9.5 g cm⁻³.


4.
The following is a DFT calculation (PBE-GGA) of LaSeI after structural relaxation.

The space group is Cm (No. 8) and the conventional cell measures 12.994, 4.139 and 7.688 Å, with angles of 90.00, 90.56 and 90.00 degrees. The distinct sites, in fractional coordinates, are La at (0.000, 0.000, 0.000), La at (0.159, 0.000, 0.503), Se at (0.079, 0.500, 0.252), Se at (0.079, 0.500, 0.752), I at (0.308, 0.000, 0.002) and I at (0.351, 0.500, 0.506).

The value obtained for the volume is 34.5 Å³ per atom. Its formation energy from raw total energies is -1.752 eV per atom. As for the total energy: -5.07 eV/atom. The crystal system is monoclinic. Its density is 5.5 g cm⁻³.


5.
The following is a DFT calculation (PBE-GGA) of Zr5SbP3 after structural relaxation.

The space group is P6_3/mcm (No. 193) and the conventional cell measures 8.3406, 8.3406 and 5.6451 Å, with angles of 90.00, 90.00 and 120.00 degrees. The distinct sites, in fractional coordinates, are Zr at (0.0000, 0.2970, 0.2500), Zr at (0.3333, 0.6667, 0.0000), Sb at (0.0000, 0.0000, 0.0000) and P at (0.0000, 0.3860, 0.7500).

The value obtained for the volume is 18.9 Å³ per atom. Its formation energy from raw total energies is -0.847 eV per atom. As for the total energy: -7.86 eV/atom. The crystal system is hexagonal. Its density is 6.6 g cm⁻³.


6.
The following is a DFT calculation (PBE-GGA) of PrY2Te4 after structural relaxation.

The space group is Cmcm (No. 63) and the conventional cell measures 4.320, 14.410 and 15.041 Å, with angles of 90.00, 90.00 and 90.00 degrees. The distinct sites, in fractional coordinates, are Pr at (0.000, 0.125, 0.250), Y at (0.000, 0.369, 0.068), Te at (0.000, 0.000, 0.000), Te at (0.000, 0.275, 0.620) and Te at (0.000, 0.460, 0.250).

The value obtained for the volume is 33.4 Å³ per atom. Its formation energy from raw total energies is -1.410 eV per atom. As for the total energy: -5.73 eV/atom. The crystal system is orthorhombic. Its density is 5.9 g cm⁻³.


7.
The following is a DFT calculation (PBE-GGA) of TiAg3Te after structural relaxation.

The space group is Pm-3m (No. 221) and the conventional cell measures 5.195, 5.195 and 5.195 Å, with angles of 90.00, 90.00 and 90.00 degrees. The distinct sites, in fractional coordinates, are Ti at (0.000, 0.000, 0.000), Ag at (0.000, 0.500, 0.500) and Te at (0.500, 0.500, 0.500).

The value obtained for the volume is 28.0 Å³ per atom. Its formation energy from raw total energies is 1.068 eV per atom. As for the total energy: -2.85 eV/atom. The crystal system is cubic. Its density is 5.9 g cm⁻³.


8.
The following is a DFT calculation (PBE-GGA) of NaSbW2 after structural relaxation.

The space group is I-42d (No. 122) and the conventional cell measures 8.080, 8.080 and 5.211 Å, with angles of 90.00, 90.00 and 90.00 degrees. The distinct sites, in fractional coordinates, are Na at (0.000, 0.000, 0.000), Sb at (0.000, 0.000, 0.500) and W at (0.206, 0.750, 0.625).

The value obtained for the volume is 21.3 Å³ per atom. Its formation energy from raw total energies is 1.412 eV per atom. As for the total energy: -6.43 eV/atom. The crystal system is tetragonal. Its density is 10.0 g cm⁻³.